No. 1
First-principles (PBE) data for a geometry-optimized TlCr2Cu structure, as listed in the Alexandria database.

a b c (Å): 3.109 3.109 6.979
angles (deg): 90.00 90.00 90.01
Atoms (fractional coordinates):
Cr: 0.000 0.000 0.460
Cr: 0.000 0.000 0.040
Cu: 0.500 0.500 0.250
Tl: 0.500 0.500 0.750

Summary:
space group	P4/mmm
calculated density	9.2	g/cm³
energy relative to the elements	0.605	eV/atom

No. 2
First-principles (PBE) data for a geometry-optimized CsCaZnTe structure, as listed in the Alexandria database.

a b c (Å): 4.838 4.845 8.875
angles (deg): 105.84 89.95 120.02
Atoms (fractional coordinates):
Cs: 0.779 0.570 0.212
Zn: 0.552 0.116 0.532
Te: 0.009 0.030 0.901
Ca: 0.288 0.590 0.741

Summary:
space group	Cm
calculated density	3.6	g/cm³
formation energy from raw total energies	-588.4	meV per atom

No. 3
First-principles (PBE) data for a geometry-optimized LiZr3Sb structure, as listed in the Alexandria database.

a b c (Å): 4.742 4.742 4.742
angles (deg): 90.00 90.00 90.00
Atoms (fractional coordinates):
Zr: 0.000 0.000 0.500
Zr: 0.500 0.000 0.000
Zr: 0.000 0.500 0.000
Li: 0.000 0.000 0.000
Sb: 0.500 0.500 0.500

Summary:
space group	Pm-3m
calculated density	6.3	g/cm³
formation energy from raw total energies	306.1	meV per atom

> The highest calculated density belongs to which entry?

TlCr2Cu

Please write out number 1 again, unchanged.
First-principles (PBE) data for a geometry-optimized TlCr2Cu structure, as listed in the Alexandria database.

a b c (Å): 3.109 3.109 6.979
angles (deg): 90.00 90.00 90.01
Atoms (fractional coordinates):
Cr: 0.000 0.000 0.460
Cr: 0.000 0.000 0.040
Cu: 0.500 0.500 0.250
Tl: 0.500 0.500 0.750

Summary:
space group	P4/mmm
calculated density	9.2	g/cm³
energy relative to the elements	0.605	eV/atom